(1)
Crystalline Rb3PmAg2Cl9 at its relaxed geometry, computed with PBE.

Cell lengths 7.527, 7.527, 9.381 Å; angles 90.00, 90.00, 120.00 degrees
Element x y z (fractional)
1 Rb 0.333 0.667 0.704
2 Rb 0.000 0.000 0.000
3 Rb 0.667 0.333 0.296
4 Pm 0.000 0.000 0.500
5 Ag 0.333 0.667 0.153
6 Ag 0.667 0.333 0.847
7 Cl 0.832 0.168 0.669
8 Cl 0.832 0.665 0.669
9 Cl 0.335 0.168 0.669
10 Cl 0.665 0.832 0.331
11 Cl 0.168 0.335 0.331
12 Cl 0.168 0.832 0.331
13 Cl 0.500 0.000 0.000
14 Cl 0.000 0.500 0.000
15 Cl 0.500 0.500 0.000

Output
Mass density, g cm⁻³: 3.4
E_tot, hartree per atom: -0.130
Formation energy (no corrections), meV per atom: -1535

***

(2)
Crystalline SrPmAgCl6 at its relaxed geometry, computed with PBE.

Cell lengths 6.967, 6.967, 13.034 Å; angles 90.00, 90.00, 120.00 degrees
Element x y z (fractional)
1 Sr 0.000 0.000 0.000
2 Sr 0.000 0.000 0.500
3 Pm 0.667 0.333 0.250
4 Pm 0.333 0.667 0.750
5 Ag 0.333 0.667 0.250
6 Ag 0.667 0.333 0.750
7 Cl 0.660 0.652 0.130
8 Cl 0.992 0.340 0.130
9 Cl 0.340 0.992 0.630
10 Cl 0.008 0.660 0.870
11 Cl 0.348 0.340 0.370
12 Cl 0.992 0.652 0.370
13 Cl 0.652 0.992 0.870
14 Cl 0.660 0.008 0.370
15 Cl 0.008 0.348 0.630
16 Cl 0.348 0.008 0.130
17 Cl 0.652 0.660 0.630
18 Cl 0.340 0.348 0.870

Output
Mass density, g cm⁻³: 3.4
E_tot, hartree per atom: -0.154
Formation energy (no corrections), meV per atom: -1919